Density functional theory data (GGA+U) for a geometry-optimized ScPaFe2O8 structure.

Calculated values
Total DFT energy (no corrections) ... -0.2844 hartree per atom
Space-group type ... I-4m2, No. 119
Fermi-level density of states ... 0.589 states/eV/atom

Lattice parameters (Å, degrees): 5.8854 5.8854 5.8854 107.97 107.97 112.51
Closest atoms and distances in Å follow each position.
Fractional coordinates of all 12 atoms:
Sc (0.0000, 0.0000, 0.0000)  8 O 2.19-2.34
Pa (0.7500, 0.2500, 0.5000)  8 O 2.19-2.40
Fe (0.2500, 0.7500, 0.5000)  4 O 1.82
Fe (0.5000, 0.5000, 0.0000)  4 O 1.85
O (0.0574, 0.3685, 0.3111)  1 Fe 1.82
O (0.0574, 0.7462, 0.6889)  1 Fe 1.82
O (0.1111, 0.2985, 0.8126)  1 Fe 1.85
O (0.2538, 0.9426, 0.3111)  1 Fe 1.82
O (0.4860, 0.2985, 0.1874)  1 Fe 1.85
O (0.6315, 0.9426, 0.6889)  1 Fe 1.82
O (0.7015, 0.5140, 0.8126)  1 Fe 1.85
O (0.7015, 0.8889, 0.1874)  1 Fe 1.85